Record 1
Compound: PuPaTe
Source: the Alexandria database
Functional: PBE
Structure: relaxed

The crystal system is trigonal. The raw formation energy is -0.138 eV per atom. The value obtained for the relative energy among the computed polymorphs is 274 meV/atom.

The structure belongs to space group P3m1 (No. 156); the cell edges are 4.9377, 4.9377 and 3.5170 Å and the angles 90.00°, 90.00° and 120.00°. The distinct sites, in fractional coordinates, are Pu at (0.0000, 0.0000, 0.0000), Pa at (0.3333, 0.6667, 0.8411) and Te at (0.6667, 0.3333, 0.3776).

***

Record 2
Compound: Pu2Pa2Te5
Source: the Alexandria database
Functional: PBE
Structure: relaxed

The crystal system is orthorhombic. The raw formation energy is -0.871 eV per atom.

The structure belongs to space group Cmce (No. 64); the cell edges are 15.886, 8.114 and 8.165 Å and the angles 90.00°, 90.00° and 90.00°. The distinct sites, in fractional coordinates, are Pu at (0.197, 0.000, 0.000), Pa at (0.000, 0.140, 0.358), Te at (0.000, 0.000, 0.000) and Te at (0.138, 0.160, 0.657).

***

Number 2 is which compound?
Pu2Pa2Te5